Entry 1:
AcGeIr2 | the Alexandria database | PBE-GGA | relaxed; energy = -7.03 eV/atom; energy of formation from the pure elements = -421 meV/atom; magnetic moment = 0.0 μB/cell; density of states at the Fermi level = 3.71 states/eV/f.u.; space group = Cmmm, No. 65; offset from the most stable computed form = 0.089 eV per atom
1.0
4.296 0.000 0.000
0.000 4.729 -0.989
0.000 -0.571 4.797
Ir Ac Ge
2 1 1
direct
0.500 0.500 0.000
0.500 0.000 0.500
0.000 0.000 0.000
0.500 0.500 0.500

=====

Entry 2:
AcGe3Ir | the Alexandria database | PBE-GGA | relaxed; energy = -5.61 eV/atom; energy of formation from the pure elements = -250 meV/atom; magnetic moment = 0.0 μB/cell; density of states at the Fermi level = 2.69 states/eV/f.u.; space group = Cmcm, No. 63; offset from the most stable computed form = 0.446 eV per atom
1.0
-2.506 -3.529 -1.745
4.298 -4.029 1.976
-2.529 1.076 7.694
Ge Ac Ir
6 2 2
direct
0.881 0.250 0.763
0.711 0.014 0.422
0.289 0.514 0.578
0.289 0.986 0.578
0.119 0.750 0.237
0.711 0.486 0.422
0.085 0.250 0.170
0.915 0.750 0.830
0.586 0.750 0.172
0.414 0.250 0.828

=====

Entry 3:
Ac4Ge5Ir2 | the Alexandria database | PBE-GGA | relaxed; energy = -5.86 eV/atom; energy of formation from the pure elements = -657 meV/atom; magnetic moment = 0.0 μB/cell; density of states at the Fermi level = 5.79 states/eV/f.u.; space group = P2/m, No. 10
1.0
4.568 0.000 0.000
0.000 7.445 0.518
0.000 -0.069 8.599
Ge Ir Ac
5 2 4
direct
0.000 0.586 0.362
0.000 0.414 0.638
0.000 0.898 0.877
0.000 0.500 0.000
0.000 0.102 0.123
0.000 0.080 0.624
0.000 0.920 0.376
0.500 0.751 0.623
0.500 0.249 0.377
0.500 0.772 0.140
0.500 0.228 0.860

=====

Entry 4:
Ac7Ge2Ir2 | the Alexandria database | PBE-GGA | relaxed; energy = -5.59 eV/atom; energy of formation from the pure elements = -524 meV/atom; magnetic moment = 0.0 μB/cell; density of states at the Fermi level = 9.40 states/eV/f.u.; space group = Imm2, No. 44; offset from the most stable computed form = 0.000 eV per atom
1.0
-4.224 1.071 1.056
-1.529 -4.886 8.358
0.960 4.790 8.497
Ac Ir Ge
7 2 2
direct
0.607 0.503 0.283
0.500 0.994 0.006
0.880 0.399 0.842
0.393 0.717 0.497
0.814 0.071 0.301
0.120 0.158 0.601
0.186 0.699 0.929
0.000 0.792 0.208
0.500 0.342 0.658
0.261 0.328 0.149
0.739 0.851 0.672

=====

Entry 5:
Ac3Ge3Ir | the Alexandria database | PBE-GGA | relaxed; energy = -5.72 eV/atom; energy of formation from the pure elements = -713 meV/atom; magnetic moment = 0.0 μB/cell; density of states at the Fermi level = 5.63 states/eV/f.u.; space group = C2/m, No. 12; offset from the most stable computed form = 0.000 eV per atom
1.0
-2.101 2.739 -2.932
-2.109 -3.242 -5.016
-13.517 -1.621 4.674
Ac Ge Ir
6 6 2
direct
0.392 0.295 0.920
0.746 0.743 0.765
0.470 0.673 0.387
0.530 0.327 0.613
0.254 0.257 0.235
0.608 0.705 0.080
0.044 0.146 0.765
0.956 0.854 0.235
0.898 0.130 0.073
0.172 0.192 0.463
0.102 0.870 0.927
0.828 0.808 0.537
0.242 0.900 0.616
0.758 0.100 0.384

=====

Entry 6:
Ac3Ge4Ir | the Alexandria database | PBE-GGA | relaxed; energy = -5.56 eV/atom; energy of formation from the pure elements = -599 meV/atom; magnetic moment = 0.0 μB/cell; density of states at the Fermi level = 4.84 states/eV/f.u.; space group = Immm, No. 71
1.0
-1.131 0.916 -4.658
3.645 -4.403 -1.751
-7.157 -3.315 3.643
Ac Ir Ge
3 1 4
direct
0.000 0.500 0.000
0.807 0.807 0.615
0.193 0.193 0.385
0.500 0.000 0.000
0.383 0.167 0.765
0.617 0.833 0.235
0.617 0.402 0.235
0.383 0.598 0.765